No. 1
Computed, not measured: RbScAlAu after structural relaxation at the PBE-GGA level of DFT.

Geometry as POSCAR:
```
RbScAlAu
1.0
0.0000 3.5372 3.5372
3.5372 0.0000 3.5372
3.5372 3.5372 0.0000
Rb Sc Al Au
1 1 1 1
Direct
0.0000 0.0000 0.0000 Rb
0.2500 0.2500 0.2500 Sc
0.7500 0.7500 0.7500 Al
0.5000 0.5000 0.5000 Au
```

Output
E_tot (eV per atom): -3.3685
Offset from the most stable computed form (eV/f.u.): 0.000
Total magnetization (μB/atom): 0.00

No. 2
Computed, not measured: TbLu2Ge7 after structural relaxation at the PBE-GGA level of DFT.

Geometry as POSCAR:
```
TbLu2Ge7
1.0
2.0305 -11.9356 0.0000
2.0305 11.9356 0.0000
0.0000 0.0000 4.1532
Tb Lu Ge
1 2 7
Direct
0.0000 0.0000 0.0000 Tb
0.1848 0.8152 0.0000 Lu
0.8152 0.1848 0.0000 Lu
0.0961 0.9039 0.5000 Ge
0.2864 0.7136 0.5000 Ge
0.4046 0.5954 0.0000 Ge
0.5000 0.5000 0.5000 Ge
0.5954 0.4046 0.0000 Ge
0.7136 0.2864 0.5000 Ge
0.9039 0.0961 0.5000 Ge
```

Output
E_tot (eV per atom): -5.0931
Total magnetization (μB/atom): 0.00

No. 3
Computed, not measured: Dy2Pt after structural relaxation at the PBE-GGA level of DFT.

Geometry as POSCAR:
```
Dy2Pt
1.0
0.0000 3.4234 3.4234
3.4234 0.0000 3.4234
3.4234 3.4234 0.0000
Dy Pt
2 1
Direct
0.2500 0.2500 0.2500 Dy
0.7500 0.7500 0.7500 Dy
0.0000 0.0000 0.0000 Pt
```

Output
E_tot (eV per atom): -5.9489
Total magnetization (μB/atom): 0.00
Energy of formation (eV per atom): -0.86